# Co2IrRh

A PBEsol-optimized structure of Co2IrRh (meta-GGA SCAN, the Alexandria database).

Cell: 2.6174 4.3858 4.4730 Å, 100.44 107.01 90.00°
With the nearest neighbours (Å) after each atom.
Fractional positions:
Co  0.9960  0.9943  0.9920  4 Ir 2.51-2.60, 5 Co 2.52-2.62, 3 Rh 2.56-2.58
Co  0.2523  0.7539  0.5046  5 Co 2.52-2.62, 4 Rh 2.52-2.59, 3 Ir 2.56-2.58
Rh  0.7485  0.2434  0.4971  7 Co 2.52-2.59, 3 Ir 2.58-2.62, 2 Rh 2.62
Ir  0.5031  0.5083  0.0063  7 Co 2.51-2.60, 3 Rh 2.58-2.62, 2 Ir 2.62

## Properties
- excess energy over the best structure of this formula in the dataset (meV per atom) = 37.5
- formation enthalpy at 0 K (meV per atom) = 70
- DOS(E_F) (states/eV/atom) = 1.21
- volume (Å³ per atom) = 12.05